# 1
The following is a DFT calculation (PBE-GGA) of crystalline SrTe2Rh at its relaxed geometry.

Geometry as POSCAR:
```
SrTe2Rh
1.0
2.8267 0.0000 8.5800
-1.4134 2.4480 8.5800
-1.4134 -2.4480 8.5800
Rh Te Sr
1 2 1
Direct
0.0000 0.0000 0.0000
0.9015 0.9015 0.9015
0.0985 0.0985 0.0985
0.5000 0.5000 0.5000
```

## Properties
As for the total energy: -3.88 eV per atom. The formation energy without anion corrections comes out at -0.051 eV per atom. As for the space-group type: No. 166. The excess energy over the best structure of this formula in the dataset comes out at 733 meV per atom.

***

# 2
The following is a DFT calculation (PBE-GGA) of crystalline CaEr2UO6 at its relaxed geometry.

Geometry as POSCAR:
```
CaEr2UO6
1.0
5.8376 0.0048 0.0013
2.9230 5.0703 -0.0068
2.9210 1.6845 5.0494
O U Er Ca
6 1 2 1
Direct
0.6186 0.2231 0.2436
0.3933 0.7077 0.7548
0.2237 0.9106 0.2414
0.7090 0.1445 0.7540
0.9122 0.6254 0.2412
0.1416 0.3926 0.7620
0.3115 0.3082 0.0689
0.5259 0.5261 0.4252
0.0222 0.0193 0.9357
0.8036 0.8041 0.5885
```

## Properties
As for the total energy: -8.53 eV per atom. The formation energy without anion corrections comes out at -3.312 eV per atom. As for the space-group type: No. 1.

***

# 3
The following is a DFT calculation (PBE-GGA) of crystalline CeNdCS at its relaxed geometry.

Geometry as POSCAR:
```
CeNdCS
1.0
3.8886 0.0000 0.0000
0.0000 3.8886 0.0000
0.0000 0.0000 5.5527
C S Nd Ce
1 1 1 1
Direct
0.5000 0.5000 0.5000
0.0000 0.0000 0.0000
0.5000 0.5000 0.0000
0.0000 0.0000 0.5000
```

## Properties
As for the total energy: -6.99 eV per atom. The formation energy without anion corrections comes out at -0.978 eV per atom. As for the space-group type: No. 123.

***

# 4
The following is a DFT calculation (PBE-GGA) of crystalline MnCu5 at its relaxed geometry.

Geometry as POSCAR:
```
MnCu5
1.0
-0.8801 -1.2209 -2.1100
-2.1467 -5.8969 2.7157
-3.8482 1.6898 0.6274
Cu Mn
5 1
Direct
0.3309 0.3383 0.0000
0.6665 0.6670 0.0000
0.2212 0.5577 0.5000
0.0003 0.9994 0.0000
0.5582 0.8836 0.5000
0.8896 0.2207 0.5000
```

## Properties
As for the total energy: -4.87 eV per atom. For the formation energy, the calculation gives 76 meV/atom. As for the space-group type: No. 38.

***

# 5
The following is a DFT calculation (PBE-GGA) of crystalline Li3LaTl at its relaxed geometry.

Geometry as POSCAR:
```
Li3LaTl
1.0
-2.1636 -0.4703 -2.6649
-1.2563 -4.5376 1.8207
-10.1516 8.3357 6.7710
Li Tl La
6 2 2
Direct
0.0000 0.0573 0.1146
0.5000 0.4541 0.9083
0.0000 0.2756 0.5513
0.0000 0.9427 0.8854
0.0000 0.7244 0.4487
0.5000 0.5459 0.0917
0.0000 0.6197 0.2393
0.0000 0.3803 0.7607
0.5000 0.8329 0.6658
0.5000 0.1671 0.3342
```

## Properties
As for the total energy: -2.72 eV per atom. For the formation energy, the calculation gives -112 meV/atom. As for the space-group type: No. 65. The excess energy over the best structure of this formula in the dataset comes out at 0 meV per atom.

***

# 6
The following is a DFT calculation (PBE-GGA) of crystalline KLi2Ta at its relaxed geometry.

Geometry as POSCAR:
```
KLi2Ta
1.0
0.0000 3.6373 3.6373
3.6373 0.0000 3.6373
3.6373 3.6373 0.0000
Ta Li K
1 2 1
Direct
0.5000 0.5000 0.5000
0.7500 0.7500 0.7500
0.2500 0.2500 0.2500
0.0000 0.0000 0.0000
```

## Properties
As for the total energy: -2.87 eV per atom. For the formation energy, the calculation gives 1324 meV/atom. As for the space-group type: No. 225. The excess energy over the best structure of this formula in the dataset comes out at 693 meV per atom.

***

# 7
The following is a DFT calculation (PBE-GGA) of crystalline Cs2ZnCCl6 at its relaxed geometry.

Geometry as POSCAR:
```
Cs2ZnCCl6
1.0
7.1328 0.0000 0.0000
0.0000 7.1328 0.0000
3.5664 3.5664 5.5060
Cl Cs Zn C
6 2 1 1
Direct
0.2018 0.2018 0.5964
0.2769 0.7231 0.0000
0.7982 0.7982 0.4036
0.7231 0.2769 0.0000
0.7231 0.7231 0.0000
0.2769 0.2769 0.0000
0.7500 0.2500 0.5000
0.2500 0.7500 0.5000
0.0000 0.0000 0.0000
0.5000 0.5000 0.0000
```

## Properties
As for the total energy: -3.00 eV per atom. The formation energy without anion corrections comes out at -0.670 eV per atom. As for the space-group type: No. 139.

***

# 8
The following is a DFT calculation (PBE-GGA) of crystalline PmH6Rh3 at its relaxed geometry.

Geometry as POSCAR:
```
PmH6Rh3
1.0
1.7311 -2.7682 -4.1482
1.0575 -0.4856 5.5413
-5.0494 0.1620 2.5640
H Rh Pm
6 3 1
Direct
0.2986 0.9186 0.7187
0.7997 0.0783 0.2715
0.7996 0.4712 0.8782
0.8413 0.3567 0.5581
0.3282 0.3440 0.1441
0.8410 0.7580 0.1563
0.3085 0.6569 0.9674
0.7316 0.3737 0.1737
0.3085 0.1673 0.4569
0.7431 0.8751 0.6751
```

## Properties
As for the total energy: -5.03 eV per atom. As for the space-group type: No. 8.